Record 1
VASP calculation (PBE) on a relaxed GeSbAs2 crystal.

calculated volume	98.09	Å³/f.u.
DOS(E_F)	3.07	states/eV/f.u.
formation energy without anion corrections	0.3128	eV per atom
distance to the lowest polymorph of the same formula	0.098	eV/atom
crystal system	trigonal
raw total energy	-4.197	eV per atom

Cell and atoms, written as CIF:
```
data_GeSbAs2
_symmetry_space_group_name_H-M 'R -3 m'
_symmetry_Int_Tables_number 166
_symmetry_space_group_name_Hall '-R 3 2"'
_cell_length_a 3.5774
_cell_length_b 3.5774
_cell_length_c 26.5512
_cell_angle_alpha 90.00
_cell_angle_beta 90.00
_cell_angle_gamma 120.00
loop_
_atom_site_label
_atom_site_type_symbol
_atom_site_fract_x
_atom_site_fract_y
_atom_site_fract_z
Ge1 Ge 0.0000 0.0000 0.0000
Sb1 Sb 0.0000 0.0000 0.5000
As1 As 0.0000 0.0000 0.3923
```

=====

Record 2
VASP calculation (PBE) on a relaxed GeSbAs3 crystal.

calculated volume	144.49	Å³/f.u.
DOS(E_F)	6.41	states/eV/f.u.
formation energy without anion corrections	1.0419	eV per atom
distance to the lowest polymorph of the same formula	0.354	eV/atom
crystal system	cubic
raw total energy	-3.496	eV per atom

Cell and atoms, written as CIF:
```
data_GeSbAs3
_symmetry_space_group_name_H-M 'P m -3 m'
_symmetry_Int_Tables_number 221
_symmetry_space_group_name_Hall '-P 4 2 3'
_cell_length_a 5.247
_cell_length_b 5.247
_cell_length_c 5.247
_cell_angle_alpha 90.00
_cell_angle_beta 90.00
_cell_angle_gamma 90.00
loop_
_atom_site_label
_atom_site_type_symbol
_atom_site_fract_x
_atom_site_fract_y
_atom_site_fract_z
Ge1 Ge 0.000 0.000 0.000
Sb1 Sb 0.500 0.500 0.500
As1 As 0.000 0.500 0.500
```